No. 1
An optimized crystal structure of BaBeW2. Source: Alexandria via LeMat-Bulk, functional PBE.

Unit cell a=4.862 b=4.862 c=9.486 alpha=75.15 beta=75.15 gamma=90.00
Atoms (fractional coordinates):
Be 0.500 0.500 0.000
Be 0.250 0.750 0.500
Ba 0.000 0.000 0.000
Ba 0.750 0.250 0.500
W 0.375 0.125 0.250
W 0.375 0.625 0.250
W 0.375 0.625 0.750
W 0.875 0.625 0.750

Summary:
**N(E_F)**: 3.5 states/eV/f.u.
**ΔE_f**: 1441 meV per atom



No. 2
An optimized crystal structure of Zn6NiAu12. Source: Alexandria via LeMat-Bulk, functional PBE.

Unit cell a=6.857 b=6.857 c=6.857 alpha=88.49 beta=88.49 gamma=88.49
Atoms (fractional coordinates):
Zn 0.100 0.275 0.737
Zn 0.725 0.263 0.900
Zn 0.263 0.900 0.725
Zn 0.900 0.725 0.263
Zn 0.275 0.737 0.100
Zn 0.737 0.100 0.275
Ni 0.000 0.000 0.000
Au 0.457 0.203 0.557
Au 0.203 0.557 0.457
Au 0.557 0.457 0.203
Au 0.543 0.797 0.443
Au 0.797 0.443 0.543
Au 0.443 0.543 0.797
Au 0.842 0.991 0.642
Au 0.358 0.158 0.009
Au 0.009 0.358 0.158
Au 0.158 0.009 0.358
Au 0.642 0.842 0.991
Au 0.991 0.642 0.842

Summary:
**N(E_F)**: 7.6 states/eV/f.u.
**Energy above the lowest structure with this stoichiometry**: 0 meV per atom
**ΔE_f**: -146 meV per atom



No. 3
An optimized crystal structure of ZrMo5W4. Source: Alexandria via LeMat-Bulk, functional PBE.

Unit cell a=3.190 b=3.190 c=16.220 alpha=90.00 beta=90.00 gamma=90.00
Atoms (fractional coordinates):
Zr 0.000 0.000 0.000
Mo 0.500 0.500 0.112
Mo 0.500 0.500 0.305
Mo 0.500 0.500 0.500
Mo 0.500 0.500 0.695
Mo 0.500 0.500 0.888
W 0.000 0.000 0.205
W 0.000 0.000 0.402
W 0.000 0.000 0.598
W 0.000 0.000 0.795

Summary:
**N(E_F)**: 4.8 states/eV/f.u.
**ΔE_f**: -32 meV per atom